A plane-wave DFT calculation with PBE-GGA was carried out for a relaxed In5Bi3Se12 crystal.

Results
calculated volume	2328	Å³/cell
E	-3.74	eV/atom
energy relative to the elements, uncorrected	-0.39	eV/atom

```
In5Bi3Se12
1.0
-5.253 -1.933 -13.333
7.630 -11.644 3.910
-10.940 1.926 9.258
Bi In Se
12 20 48
direct
0.750 0.375 0.125
0.875 0.750 0.125
0.375 0.750 0.625
0.250 0.125 0.375
0.875 0.125 0.250
0.375 0.625 0.250
0.625 0.375 0.750
0.125 0.875 0.750
0.750 0.875 0.625
0.625 0.250 0.375
0.125 0.250 0.875
0.250 0.625 0.875
0.125 0.375 0.250
0.000 0.500 0.000
0.000 0.000 0.000
0.375 0.250 0.125
0.500 0.000 0.500
0.500 0.500 0.000
0.125 0.750 0.375
0.750 0.125 0.875
0.750 0.625 0.375
0.375 0.125 0.750
0.625 0.875 0.250
0.500 0.500 0.500
0.500 0.000 0.000
0.000 0.000 0.500
0.250 0.375 0.625
0.250 0.875 0.125
0.000 0.500 0.500
0.875 0.250 0.625
0.625 0.750 0.875
0.875 0.625 0.750
0.716 0.129 0.042
0.326 0.542 0.412
0.958 0.371 0.284
0.542 0.216 0.129
0.586 0.716 0.674
0.958 0.588 0.174
0.326 0.784 0.414
0.088 0.914 0.129
0.588 0.958 0.674
0.716 0.586 0.174
0.784 0.458 0.371
0.826 0.912 0.042
0.129 0.716 0.542
0.371 0.412 0.086
0.086 0.912 0.371
0.414 0.129 0.588
0.086 0.174 0.216
0.458 0.674 0.088
0.826 0.914 0.284
0.129 0.414 0.088
0.371 0.958 0.784
0.588 0.629 0.414
0.912 0.826 0.542
0.784 0.326 0.914
0.412 0.371 0.586
0.088 0.174 0.458
0.216 0.674 0.086
0.174 0.086 0.716
0.629 0.042 0.216
0.871 0.586 0.912
0.542 0.326 0.912
0.586 0.871 0.412
0.914 0.826 0.784
0.914 0.088 0.629
0.871 0.284 0.458
0.174 0.088 0.958
0.629 0.588 0.914
0.412 0.042 0.326
0.284 0.414 0.826
0.216 0.542 0.629
0.912 0.086 0.871
0.674 0.216 0.586
0.458 0.784 0.871
0.042 0.412 0.826
0.414 0.284 0.326
0.042 0.629 0.716
0.674 0.458 0.588
0.284 0.871 0.958
```